GGA-PBE AlSnCl2, optimized geometry; uncorrected formation energy = -0.052 eV/atom
1.0
-1.896 -6.770 -1.152
6.537 -1.414 -2.454
3.983 -5.444 3.405
Sn Al Cl
2 2 4
Direct
0.750 0.250 0.500 Sn
0.000 0.000 0.000 Sn
0.500 0.500 0.000 Al
0.250 0.750 0.500 Al
0.375 0.542 0.750 Cl
0.292 0.625 0.250 Cl
0.875 0.708 0.750 Cl
0.458 0.125 0.250 Cl